#i
# ErPuSc PBE-GGA optimized geometry
data_ErPuSc
_chemical_formula_sum 'Er2 Pu2 Sc2'
_space_group_name_H-M_alt 'I 4 m m'
_space_group_IT_number 107
_space_group_name_Hall 'I 4 -2'
_cell_length_a 3.393
_cell_length_b 3.393
_cell_length_c 14.095
_cell_angle_alpha 90.00
_cell_angle_beta 90.00
_cell_angle_gamma 90.00
loop_
_atom_site_label
_atom_site_type_symbol
_atom_site_fract_x
_atom_site_fract_y
_atom_site_fract_z
Er1 Er 0.000 0.000 0.000
Pu1 Pu 0.000 0.000 0.674
Sc1 Sc 0.000 0.000 0.331
# DOS at the Fermi energy in states/eV per cell: 15.09
# V in Å³ per cell: 162
# Crystal system: tetragonal

#ii
# ErPuSc PBE-GGA optimized geometry
data_ErPuSc
_chemical_formula_sum 'Er4 Pu4 Sc4'
_space_group_name_H-M_alt 'C m m e'
_space_group_IT_number 67
_space_group_name_Hall '-C 2a 2'
_cell_length_a 6.137
_cell_length_b 10.015
_cell_length_c 6.241
_cell_angle_alpha 90.00
_cell_angle_beta 90.00
_cell_angle_gamma 90.00
loop_
_atom_site_label
_atom_site_type_symbol
_atom_site_fract_x
_atom_site_fract_y
_atom_site_fract_z
Er1 Er 0.000 0.250 0.135
Pu1 Pu 0.000 0.250 0.623
Sc1 Sc 0.250 0.000 0.500
# DOS at the Fermi energy in states/eV per cell: 34.10
# V in Å³ per cell: 384
# Crystal system: orthorhombic

Out of the structures above, which one is the most stable? Solution: #i.